Entry from Alexandria: a relaxed Sr3MnTe crystal (GGA-PBEsol).

Size of the total moment in μB/cell: 2.00
E_tot in eV/atom: -3.639
Uncorrected formation energy in eV per formula unit: 0.613

Cell: 5.6010 5.6010 5.6010 Å, 90.00 90.00 90.00°
Closest atoms and distances in Å follow each position.
Space group Pm-3m (No. 221)
One atom of each set of equivalent atoms:
Sr 0.0000 0.0000 0.5000 x3  2 Mn 2.80
Mn 0.0000 0.0000 0.0000 x1  6 Sr 2.80
Te 0.5000 0.5000 0.5000 x1  12 Sr 3.96